1.
9
Lattice="5.4473 0.0000 1.4194 2.7237 5.4129 0.7096 1.3588 -0.0001 5.9477" Properties=species:S:1:pos:R:3 comment="InO8, optimized geometry, DFT PBE" total_energy_ev_per_atom=-4.2311 space_group="I4/mmm, No. 139" total_magnetization_mub_per_atom=0.50 pbc="T T T"
O 1.9304 2.2665 3.7543
O 4.3647 -0.0001 5.5742
O 2.4414 0.0000 1.7929
O 5.4473 4.2936 1.4193
O 2.7237 1.1194 0.7097
O 4.6540 3.1463 4.4640
O 2.1522 3.1463 2.9030
O 4.8758 2.2666 3.6127
In 0.0000 0.0000 0.0000

***

2.
10
Lattice="6.6881 0.0001 0.0001 3.3441 5.7920 0.0003 3.3437 1.9313 5.9178" Properties=species:S:1:pos:R:3 comment="Ho2ErAlS6, optimized geometry, DFT PBE" total_energy_ev_per_atom=-5.9757 space_group="R3, No. 146" total_magnetization_mub_per_atom=0.00 pbc="T T T"
S 5.4404 1.7045 1.4692
S 4.7648 3.9636 4.5527
S 9.1809 3.8595 1.4702
S 7.7375 5.4762 4.5527
S 5.4435 6.0210 1.4699
S 7.5608 2.1453 4.5535
Ho 3.3437 1.9311 5.5670
Ho 6.6883 3.8618 2.5675
Er 10.0321 5.7926 3.2528
Al 3.3438 1.9306 0.2254

***

3.
5
Lattice="3.7461 0.0000 0.0000 0.0000 3.7461 0.0000 1.8730 1.8730 8.1879" Properties=species:S:1:pos:R:3 comment="Cd2In2W, optimized geometry, DFT PBE" e_above_lowest_polymorph_mev_per_atom=25 total_energy_ev_per_atom=-3.2450 space_group="I4/mmm, No. 139" e_form_mev_per_atom=807 total_magnetization_mub_per_atom=0.00 pbc="T T T"
W 0.0000 0.0000 0.0000
In 1.8730 1.8730 1.4296
In 3.7461 3.7461 6.7583
Cd 1.8730 3.7461 4.0940
Cd 3.7461 1.8730 4.0940

***

4.
20
Lattice="9.7656 0.0000 0.0000 -3.2552 9.2071 0.0000 -3.2552 -4.6036 7.9736" Properties=species:S:1:pos:R:3 comment="Cs4CeIn3Cl12, optimized geometry, DFT PBE" total_energy_ev_per_atom=-3.6213 space_group="Im-3m, No. 229" total_magnetization_mub_per_atom=0.04 pbc="T T T"
Cl -1.6276 1.1509 5.9802
Cl 4.9491 -3.4995 6.0613
Cl -1.5614 1.1040 1.9123
Cl 1.6276 5.7544 1.9934
Cl -4.9491 3.4995 6.0613
Cl 1.5614 2.2081 0.0000
Cl 1.5614 -1.1040 1.9123
Cl 4.9491 6.9990 0.0000
Cl 4.8828 3.4527 1.9934
Cl 4.8828 0.0000 3.9868
Cl 1.6276 -1.1509 5.9802
Cl -1.6276 4.6036 3.9868
Ce 0.0000 0.0000 0.0000
In -3.2552 2.3018 3.9868
In 3.2552 4.6036 0.0000
In 3.2552 -2.3018 3.9868
Cs 1.6276 2.3018 3.9868
Cs -1.6276 -2.3018 3.9868
Cs 4.8828 0.0000 0.0000
Cs -1.6276 4.6036 0.0000

***

5.
4
Lattice="-0.4805 -1.4784 5.3134 4.4974 -0.2638 3.2174 0.7677 3.7522 3.9975" Properties=species:S:1:pos:R:3 comment="NdThInPb, optimized geometry, DFT PBE" total_energy_ev_per_atom=-4.9462 space_group="F-43m, No. 216" e_form_mev_per_atom=-288 total_magnetization_mub_per_atom=0.00 pbc="T T T"
Nd 0.0000 0.0000 0.0000
Pb 3.5885 1.5075 9.3962
Th 2.3923 1.0050 6.2641
In 1.1962 0.5025 3.1321

***

6.
5
Lattice="-2.6955 -0.4286 2.1869 0.8645 -3.3645 0.4062 3.9038 1.6224 5.1297" Properties=species:S:1:pos:R:3 comment="FeCIN2, optimized geometry, DFT PBE" e_above_lowest_polymorph_mev_per_atom=0 total_energy_ev_per_atom=-5.3694 space_group="P4/mmm, No. 123" total_magnetization_mub_per_atom=0.08 pbc="T T T"
N -1.3478 -0.2143 1.0935
N 0.4323 -1.6823 0.2031
Fe 0.0000 0.0000 0.0000
C 1.0364 -1.0854 3.8614
I 1.9519 0.8112 2.5649